Here is crystalline CrO at its relaxed geometry from Alexandria. Energies are from PBE+U.

Its total energy is -62.1 eV per cell.

The structure in CIF format:
```
data_CrO
_cell_length_a 5.628
_cell_length_b 5.628
_cell_length_c 5.628
_cell_angle_alpha 97.48
_cell_angle_beta 97.48
_cell_angle_gamma 137.71
_space_group_name_H-M_alt 'P 1'
_space_group_IT_number 1
_space_group_name_Hall 'P 1'
loop_
_atom_site_label
_atom_site_type_symbol
_atom_site_fract_x
_atom_site_fract_y
_atom_site_fract_z
_atom_site_occupancy
Cr1 Cr 0.106 0.705 0.811 1
Cr2 Cr 0.295 0.106 0.400 1
Cr3 Cr 0.705 0.894 0.600 1
Cr4 Cr 0.894 0.295 0.189 1
O1 O 0.169 0.358 0.527 1
O2 O 0.358 0.831 0.189 1
O3 O 0.642 0.169 0.811 1
O4 O 0.831 0.642 0.473 1
```